# ThZrGaAu | Alexandria via LeMat-Bulk | PBE | relaxed
# DFT total energy ... -23.81 eV/f.u.
# Crystal system ... cubic
# DFT formation energy ... -1.5 eV/f.u.
data_ThZrGaAu
_symmetry_space_group_name_H-M 'F -4 3 m'
_symmetry_Int_Tables_number 216
_symmetry_space_group_name_Hall 'F -4 2 3'
_cell_length_a 7.175
_cell_length_b 7.175
_cell_length_c 7.175
_cell_angle_alpha 90.00
_cell_angle_beta 90.00
_cell_angle_gamma 90.00
loop_
_atom_site_label
_atom_site_type_symbol
_atom_site_fract_x
_atom_site_fract_y
_atom_site_fract_z
Th1 Th 0.000 0.000 0.000
Zr1 Zr 0.000 0.000 0.500
Ga1 Ga 0.250 0.250 0.250
Au1 Au 0.250 0.250 0.750



# HW2Br | Alexandria via LeMat-Bulk | PBE | relaxed
# DFT total energy ... -26.93 eV/f.u.
# Crystal system ... tetragonal
# Relative energy among the computed polymorphs ... 0 meV per atom
data_HW2Br
_symmetry_space_group_name_H-M 'I -4 2 d'
_symmetry_Int_Tables_number 122
_symmetry_space_group_name_Hall 'I -4 2bw'
_cell_length_a 4.942
_cell_length_b 4.942
_cell_length_c 9.961
_cell_angle_alpha 90.00
_cell_angle_beta 90.00
_cell_angle_gamma 90.00
loop_
_atom_site_label
_atom_site_type_symbol
_atom_site_fract_x
_atom_site_fract_y
_atom_site_fract_z
H1 H 0.000 0.000 0.000
W1 W 0.116 0.250 0.125
Br1 Br 0.000 0.000 0.500



# Nb2AlSiHg | Alexandria via LeMat-Bulk | PBE | relaxed
# DFT total energy ... -23.37 eV/f.u.
# Crystal system ... tetragonal
# E_form (uncorrected) ... 1246.9 meV per atom
data_Nb2AlSiHg
_symmetry_space_group_name_H-M 'P 4/m m m'
_symmetry_Int_Tables_number 123
_symmetry_space_group_name_Hall '-P 4 2'
_cell_length_a 4.819
_cell_length_b 4.819
_cell_length_c 4.674
_cell_angle_alpha 90.00
_cell_angle_beta 90.00
_cell_angle_gamma 90.00
loop_
_atom_site_label
_atom_site_type_symbol
_atom_site_fract_x
_atom_site_fract_y
_atom_site_fract_z
Nb1 Nb 0.000 0.500 0.000
Al1 Al 0.000 0.000 0.000
Si1 Si 0.500 0.500 0.500
Hg1 Hg 0.000 0.000 0.500



# Fe2RePb | Alexandria via LeMat-Bulk | PBE | relaxed
# DFT total energy ... -30.26 eV/f.u.
# Crystal system ... tetragonal
# DFT formation energy ... 2.8 eV/f.u.
data_Fe2RePb
_symmetry_space_group_name_H-M 'I -4 m 2'
_symmetry_Int_Tables_number 119
_symmetry_space_group_name_Hall 'I -4 -2'
_cell_length_a 3.928
_cell_length_b 3.928
_cell_length_c 8.057
_cell_angle_alpha 90.00
_cell_angle_beta 90.00
_cell_angle_gamma 90.00
loop_
_atom_site_label
_atom_site_type_symbol
_atom_site_fract_x
_atom_site_fract_y
_atom_site_fract_z
Fe1 Fe 0.000 0.000 0.000
Fe2 Fe 0.000 0.500 0.250
Re1 Re 0.000 0.000 0.500
Pb1 Pb 0.000 0.500 0.750



# La12Sm3In | Alexandria via LeMat-Bulk | PBE | relaxed
# DFT total energy ... -76.98 eV/f.u.
# Crystal system ... tetragonal
# DFT formation energy ... -1.0 eV/f.u.
data_La12Sm3In
_symmetry_space_group_name_H-M 'P 4/m m m'
_symmetry_Int_Tables_number 123
_symmetry_space_group_name_Hall '-P 4 2'
_cell_length_a 5.175
_cell_length_b 5.175
_cell_length_c 20.948
_cell_angle_alpha 90.00
_cell_angle_beta 90.00
_cell_angle_gamma 90.00
loop_
_atom_site_label
_atom_site_type_symbol
_atom_site_fract_x
_atom_site_fract_y
_atom_site_fract_z
La1 La 0.000 0.000 0.000
La2 La 0.000 0.000 0.249
La3 La 0.000 0.000 0.500
La4 La 0.000 0.500 0.121
La5 La 0.000 0.500 0.373
Sm1 Sm 0.500 0.500 0.247
Sm2 Sm 0.500 0.500 0.500
In1 In 0.500 0.500 0.000



# ReGe2Te | Alexandria via LeMat-Bulk | PBE | relaxed
# DFT total energy ... -22.15 eV/f.u.
# Crystal system ... tetragonal
# E_form (uncorrected) ... 668.3 meV per atom
data_ReGe2Te
_symmetry_space_group_name_H-M 'I -4 2 d'
_symmetry_Int_Tables_number 122
_symmetry_space_group_name_Hall 'I -4 2bw'
_cell_length_a 6.059
_cell_length_b 6.059
_cell_length_c 11.878
_cell_angle_alpha 90.00
_cell_angle_beta 90.00
_cell_angle_gamma 90.00
loop_
_atom_site_label
_atom_site_type_symbol
_atom_site_fract_x
_atom_site_fract_y
_atom_site_fract_z
Re1 Re 0.000 0.000 0.000
Ge1 Ge 0.188 0.250 0.125
Te1 Te 0.000 0.000 0.500